[1]
First-principles (PBE) data for AgPbBr6 after structural relaxation, as listed in Alexandria via LeMat-Bulk.

Unit cell a=6.5981 b=6.9709 c=7.3525 alpha=62.17 beta=89.89 gamma=66.75
Closest atoms and distances in Å follow each position.
Sites, in units of the cell vectors:
Ag: 0.0000 0.0000 0.0000  4 Br 2.60-2.61
Pb: 0.5000 0.0000 0.5000  6 Br 2.70-2.87
Br: 0.0847 0.1639 0.2294  1 Ag 2.60, 1 Pb 2.86
Br: 0.2404 0.1754 0.7503  1 Ag 2.61, 1 Pb 2.87
Br: 0.4522 0.4568 0.2665  1 Pb 2.70
Br: 0.5478 0.5432 0.7335  1 Pb 2.70
Br: 0.7596 0.8246 0.2497  1 Ag 2.61, 1 Pb 2.87
Br: 0.9153 0.8361 0.7706  1 Ag 2.60, 1 Pb 2.86

Space-group type ... P-1
Energy ... -2.3402 eV/atom
Formation energy (no corrections) ... -6.13 kcal/mol of atoms

=====

[2]
First-principles (PBE) data for AgPbBr2 after structural relaxation, as listed in Alexandria via LeMat-Bulk.

Unit cell a=3.8660 b=3.8660 c=25.8642 alpha=90.00 beta=90.00 gamma=120.00
Closest atoms and distances in Å follow each position.
Sites, in units of the cell vectors:
Ag: 0.0000 0.0000 0.0000  6 Br 2.86
Ag: 0.3333 0.6667 0.6667  6 Br 2.86
Ag: 0.6667 0.3333 0.3333  6 Br 2.86
Pb: 0.0000 0.0000 0.5000  6 Br 3.36
Pb: 0.3333 0.6667 0.1667  6 Br 3.36
Pb: 0.6667 0.3333 0.8333  6 Br 3.36
Br: 0.0000 0.0000 0.2640  3 Ag 2.86
Br: 0.0000 0.0000 0.7360  3 Ag 2.86
Br: 0.3333 0.6667 0.4027  3 Ag 2.86
Br: 0.3333 0.6667 0.9307  3 Ag 2.86
Br: 0.6667 0.3333 0.0693  3 Ag 2.86
Br: 0.6667 0.3333 0.5973  3 Ag 2.86

Space-group type ... R-3m
Energy ... -2.8000 eV/atom
Formation energy (no corrections) ... -7.46 kcal/mol of atoms

=====

[3]
First-principles (PBE) data for Ag2Pb4Br9 after structural relaxation, as listed in Alexandria via LeMat-Bulk.

Unit cell a=7.4006 b=7.5838 c=21.0281 alpha=85.07 beta=87.50 gamma=66.96
Closest atoms and distances in Å follow each position.
Sites, in units of the cell vectors:
Ag: 0.0397 0.3344 0.1950  4 Br 2.69-2.86
Ag: 0.1232 0.7054 0.5992  4 Br 2.73-2.95
Ag: 0.8768 0.2946 0.4008  4 Br 2.73-2.95
Ag: 0.9603 0.6656 0.8050  4 Br 2.69-2.86
Pb: 0.3021 0.9456 0.8209  6 Br 2.95-3.20
Pb: 0.3227 0.8111 0.0164  6 Br 2.95-3.25
Pb: 0.3275 0.6589 0.3228  6 Br 2.94-3.23
Pb: 0.4064 0.8484 0.5226  3 Br 2.96-3.31, 1 Ag 3.06, 1 Pb 3.18
Pb: 0.5936 0.1516 0.4774  3 Br 2.96-3.31, 1 Ag 3.06, 1 Pb 3.18
Pb: 0.6725 0.3411 0.6772  6 Br 2.94-3.23
Pb: 0.6773 0.1889 0.9836  6 Br 2.95-3.25
Pb: 0.6979 0.0544 0.1791  6 Br 2.95-3.20
Br: 0.0132 0.8359 0.9152  1 Ag 2.86, 2 Pb 3.14-3.15
Br: 0.0258 0.6803 0.2212  1 Ag 2.69
Br: 0.0655 0.9046 0.4173  1 Ag 2.73, 1 Pb 2.94
Br: 0.2443 0.3419 0.3956  1 Ag 2.88, 2 Pb 2.96-2.99
Br: 0.2779 0.6714 0.7287  2 Ag 2.80-2.95, 1 Pb 3.02
Br: 0.3100 0.1680 0.9351  3 Pb 3.01-3.07
Br: 0.3462 0.0122 0.2377  1 Ag 2.72, 1 Pb 2.95
Br: 0.3586 0.3272 0.5910  1 Ag 2.73, 2 Pb 2.98-3.05
Br: 0.4162 0.3994 0.0859  3 Pb 2.95-3.20
Br: 0.5838 0.6006 0.9141  3 Pb 2.95-3.20
Br: 0.6414 0.6728 0.4090  1 Ag 2.73, 2 Pb 2.98-3.05
Br: 0.6538 0.9878 0.7623  1 Ag 2.72, 1 Pb 2.95
Br: 0.6900 0.8320 0.0649  3 Pb 3.01-3.07
Br: 0.7221 0.3286 0.2713  2 Ag 2.80-2.95, 1 Pb 3.02
Br: 0.7557 0.6581 0.6044  1 Ag 2.88, 2 Pb 2.96-2.99
Br: 0.9345 0.0954 0.5827  1 Ag 2.73, 1 Pb 2.94
Br: 0.9742 0.3197 0.7788  1 Ag 2.69
Br: 0.9868 0.1641 0.0848  1 Ag 2.86, 2 Pb 3.14-3.15

Space-group type ... P-1
Energy ... -3.0515 eV/atom
Formation energy (no corrections) ... -15.65 kcal/mol of atoms

=====

[4]
First-principles (PBE) data for AgPbBr2 after structural relaxation, as listed in Alexandria via LeMat-Bulk.

Unit cell a=9.2944 b=3.6713 c=7.2172 alpha=90.00 beta=105.75 gamma=90.00
Closest atoms and distances in Å follow each position.
Sites, in units of the cell vectors:
Ag: 0.0000 0.0000 0.0000  4 Br 2.81
Ag: 0.5000 0.5000 0.0000  4 Br 2.81
Pb: 0.0000 0.5000 0.5000  2 Br 3.07
Pb: 0.5000 0.0000 0.5000  2 Br 3.07
Br: 0.2013 0.5000 0.2257  2 Ag 2.81, 1 Pb 3.07
Br: 0.2987 0.0000 0.7743  2 Ag 2.81, 1 Pb 3.07
Br: 0.7013 0.0000 0.2257  2 Ag 2.81, 1 Pb 3.07
Br: 0.7987 0.5000 0.7743  2 Ag 2.81, 1 Pb 3.07

Space-group type ... C2/m
Energy ... -2.7947 eV/atom
Formation energy (no corrections) ... -7.34 kcal/mol of atoms

=====

[5]
First-principles (PBE) data for Ag2PbBr after structural relaxation, as listed in Alexandria via LeMat-Bulk.

Unit cell a=8.0329 b=8.0329 c=6.2664 alpha=90.00 beta=90.00 gamma=90.00
Closest atoms and distances in Å follow each position.
Sites, in units of the cell vectors:
Ag: 0.2452 0.2500 0.1250  2 Br 2.92, 2 Pb 2.97, 2 Ag 3.13
Ag: 0.2500 0.7452 0.3750  2 Br 2.92, 2 Pb 2.97, 2 Ag 3.13
Ag: 0.2500 0.7548 0.8750  2 Br 2.92, 2 Pb 2.97, 2 Ag 3.13
Ag: 0.2548 0.2500 0.6250  2 Br 2.92, 2 Pb 2.97, 2 Ag 3.13
Ag: 0.7452 0.7500 0.6250  2 Br 2.92, 2 Pb 2.97, 2 Ag 3.13
Ag: 0.7500 0.2452 0.8750  2 Br 2.92, 2 Pb 2.97, 2 Ag 3.13
Ag: 0.7500 0.2548 0.3750  2 Br 2.92, 2 Pb 2.97, 2 Ag 3.13
Ag: 0.7548 0.7500 0.1250  2 Br 2.92, 2 Pb 2.97, 2 Ag 3.13
Pb: 0.0000 0.0000 0.5000  4 Ag 2.97, 2 Br 3.13
Pb: 0.0000 0.5000 0.7500  4 Ag 2.97, 2 Br 3.13
Pb: 0.5000 0.0000 0.2500  4 Ag 2.97, 2 Br 3.13
Pb: 0.5000 0.5000 0.0000  4 Ag 2.97, 2 Br 3.13
Br: 0.0000 0.0000 0.0000  4 Ag 2.92, 2 Pb 3.13
Br: 0.0000 0.5000 0.2500  4 Ag 2.92, 2 Pb 3.13
Br: 0.5000 0.0000 0.7500  4 Ag 2.92, 2 Pb 3.13
Br: 0.5000 0.5000 0.5000  4 Ag 2.92, 2 Pb 3.13

Space-group type ... I-42d
Energy ... -2.7205 eV/atom
Formation energy (no corrections) ... 1.16 kcal/mol of atoms

=====

[6]
First-principles (PBE) data for Ag2PbBr after structural relaxation, as listed in Alexandria via LeMat-Bulk.

Unit cell a=4.3281 b=4.3281 c=10.6621 alpha=90.00 beta=90.00 gamma=90.00
Closest atoms and distances in Å follow each position.
Sites, in units of the cell vectors:
Ag: 0.0000 0.5000 0.2500  4 Ag 3.06
Ag: 0.0000 0.5000 0.7500  4 Ag 3.06
Ag: 0.5000 0.0000 0.2500  4 Ag 3.06
Ag: 0.5000 0.0000 0.7500  4 Ag 3.06
Pb: 0.0000 0.0000 0.0000  4 Br 3.06
Pb: 0.5000 0.5000 0.5000  4 Br 3.06
Br: 0.0000 0.0000 0.5000  4 Pb 3.06
Br: 0.5000 0.5000 0.0000  4 Pb 3.06

Space-group type ... I4/mmm
Energy ... -2.6671 eV/atom
Formation energy (no corrections) ... 2.39 kcal/mol of atoms

=====

[7]
First-principles (PBE) data for AgPbBr2 after structural relaxation, as listed in Alexandria via LeMat-Bulk.

Unit cell a=8.4336 b=8.4213 c=3.5986 alpha=90.00 beta=90.09 gamma=90.00
Closest atoms and distances in Å follow each position.
Sites, in units of the cell vectors:
Ag: 0.0000 0.0000 0.0000  4 Br 2.98
Ag: 0.5000 0.5000 0.0000  4 Br 2.98
Pb: 0.0000 0.5000 0.0000  4 Br 2.98
Pb: 0.5000 0.0000 0.0000  4 Br 2.98
Br: 0.2500 0.2500 0.0000  2 Pb 2.98, 2 Ag 2.98
Br: 0.2500 0.7500 0.0000  2 Pb 2.98, 2 Ag 2.98
Br: 0.7500 0.2500 0.0000  2 Pb 2.98, 2 Ag 2.98
Br: 0.7500 0.7500 0.0000  2 Pb 2.98, 2 Ag 2.98

Space-group type ... C2/m
Energy ... -2.7597 eV/atom
Formation energy (no corrections) ... -6.54 kcal/mol of atoms

=====

[8]
First-principles (PBE) data for Ag2PbBr after structural relaxation, as listed in Alexandria via LeMat-Bulk.

Unit cell a=10.5983 b=3.6724 c=5.2659 alpha=90.00 beta=100.19 gamma=90.00
Closest atoms and distances in Å follow each position.
Sites, in units of the cell vectors:
Ag: 0.2351 0.0000 0.2047  2 Ag 2.89, 3 Pb 3.13-3.18, 1 Br 3.16
Ag: 0.2649 0.5000 0.7953  2 Ag 2.89, 3 Pb 3.13-3.18, 1 Br 3.16
Ag: 0.7351 0.5000 0.2047  2 Ag 2.89, 3 Pb 3.13-3.18, 1 Br 3.16
Ag: 0.7649 0.0000 0.7953  2 Ag 2.89, 3 Pb 3.13-3.18, 1 Br 3.16
Pb: 0.0000 0.5000 0.0000  6 Ag 3.13-3.18, 4 Br 3.21
Pb: 0.5000 0.0000 0.0000  6 Ag 3.13-3.18, 4 Br 3.21
Br: 0.0000 0.0000 0.5000  6 Ag 3.16-3.48, 4 Pb 3.21
Br: 0.5000 0.5000 0.5000  6 Ag 3.16-3.48, 4 Pb 3.21

Space-group type ... C2/m
Energy ... -2.7226 eV/atom
Formation energy (no corrections) ... 1.12 kcal/mol of atoms

=====

[9]
First-principles (PBE) data for AgPbBr2 after structural relaxation, as listed in Alexandria via LeMat-Bulk.

Unit cell a=7.9801 b=7.9801 c=7.3859 alpha=90.00 beta=90.00 gamma=90.00
Closest atoms and distances in Å follow each position.
Sites, in units of the cell vectors:
Ag: 0.0000 0.0000 0.0000  4 Br 2.79
Ag: 0.0000 0.5000 0.2500  4 Br 2.79
Ag: 0.5000 0.0000 0.7500  4 Br 2.79
Ag: 0.5000 0.5000 0.5000  4 Br 2.79
Pb: 0.0000 0.0000 0.5000  4 Br 3.17
Pb: 0.0000 0.5000 0.7500  4 Br 3.17
Pb: 0.5000 0.0000 0.2500  4 Br 3.17
Pb: 0.5000 0.5000 0.0000  4 Br 3.17
Br: 0.2145 0.2500 0.1250  2 Ag 2.79
Br: 0.2500 0.7145 0.3750  2 Ag 2.79
Br: 0.2500 0.7855 0.8750  2 Ag 2.79
Br: 0.2855 0.2500 0.6250  2 Ag 2.79
Br: 0.7145 0.7500 0.6250  2 Ag 2.79
Br: 0.7500 0.2145 0.8750  2 Ag 2.79
Br: 0.7500 0.2855 0.3750  2 Ag 2.79
Br: 0.7855 0.7500 0.1250  2 Ag 2.79

Space-group type ... I-42d
Energy ... -2.7186 eV/atom
Formation energy (no corrections) ... -5.59 kcal/mol of atoms

=====

[10]
First-principles (PBE) data for AgPbBr2 after structural relaxation, as listed in Alexandria via LeMat-Bulk.

Unit cell a=3.6605 b=4.1119 c=8.1816 alpha=90.00 beta=101.21 gamma=90.00
Closest atoms and distances in Å follow each position.
Sites, in units of the cell vectors:
Ag: 0.0000 0.0000 0.0000  4 Br 2.82
Pb: 0.0000 0.0000 0.5000  4 Br 3.10
Br: 0.1564 0.5000 0.7887  2 Ag 2.82, 2 Pb 3.10
Br: 0.8436 0.5000 0.2113  2 Ag 2.82, 2 Pb 3.10

Space-group type ... P2/m
Energy ... -2.7995 eV/atom
Formation energy (no corrections) ... -7.45 kcal/mol of atoms